No. 1
Below is a geometry-optimized TlB5Rh8 structure, with properties calculated at the GGA-PBE level.

The structure belongs to space group C2/m (No. 12); the cell edges are 14.9395, 3.1968 and 7.4876 Å and the angles 90.00°, 102.20° and 90.00°. The asymmetric unit holds Tl at (0.0000, 0.0000, 0.0000), B at (0.0000, 0.5000, 0.5000), B at (0.1589, 0.0000, 0.4866), B at (0.2010, 0.0000, 0.8320), Rh at (0.0656, 0.0000, 0.6671), Rh at (0.0985, 0.5000, 0.3273), Rh at (0.1682, 0.5000, 0.9925) and Rh at (0.2361, 0.5000, 0.6628).

As for the total DFT energy (no corrections): -196.4 eV for the cell shown. As for the magnetization: 0.00 μB per cell. The density of states at the Fermi level is 13.849 states/eV/cell. Its formation energy from the elements is -0.2606 eV per atom.



No. 2
Below is a geometry-optimized SiAsPRh2C structure, with properties calculated at the GGA-PBE level.

The structure belongs to space group Cm (No. 8); the cell edges are 10.6886, 3.0378 and 6.0995 Å and the angles 90.00°, 113.70° and 90.00°. The asymmetric unit holds Si at (0.0000, 0.0000, 0.0000), As at (0.3732, 0.0000, 0.5218), P at (0.1188, 0.5000, 0.6166), Rh at (0.1811, 0.5000, 0.2981), Rh at (0.2133, 0.0000, 0.9180) and C at (0.3959, 0.0000, 0.8631).

As for the total DFT energy (no corrections): -78.5 eV for the cell shown. As for the magnetization: 0.00 μB per cell. The density of states at the Fermi level is 6.107 states/eV/cell. The offset from the most stable computed form comes out at 0.305 eV per atom. The uncorrected formation energy comes out at 0.028 eV per atom.



No. 3
Below is a geometry-optimized Ca2PaIO8 structure, with properties calculated at the GGA-PBE level.

The structure belongs to space group Cmmm (No. 65); the cell edges are 6.9750, 7.3519 and 6.8859 Å and the angles 90.00°, 90.00° and 90.00°. The asymmetric unit holds Ca at (0.0000, 0.0000, 0.2383), Pa at (0.0000, 0.5000, 0.5000), I at (0.0000, 0.5000, 0.0000), O at (0.0000, 0.3251, 0.2112), O at (0.2135, 0.0000, 0.5000) and O at (0.2335, 0.0000, 0.0000).

As for the total DFT energy (no corrections): -162.6 eV for the cell shown. As for the magnetization: 0.00 μB per cell. The density of states at the Fermi level is 0.000 states/eV/cell. The uncorrected formation energy comes out at -2.214 eV per atom.



No. 4
Below is a geometry-optimized GaPHPtS structure, with properties calculated at the GGA-PBE level.

The structure belongs to space group Cm (No. 8); the cell edges are 7.1865, 3.4997 and 6.3423 Å and the angles 90.00°, 93.21° and 90.00°. The asymmetric unit holds Ga at (0.0000, 0.0000, 0.0000), P at (0.2160, 0.5000, 0.5540), H at (0.2572, 0.0000, 0.8755), Pt at (0.4124, 0.0000, 0.7018) and S at (0.2007, 0.5000, 0.2168).

As for the total DFT energy (no corrections): -46.2 eV for the cell shown. As for the magnetization: 0.00 μB per cell. The density of states at the Fermi level is 1.698 states/eV/cell. The offset from the most stable computed form comes out at 0.096 eV per atom.



No. 5
Below is a geometry-optimized CaAc2PtO5 structure, with properties calculated at the GGA-PBE level.

The structure belongs to space group P4/mbm (No. 127); the cell edges are 7.0959, 7.0959 and 5.9135 Å and the angles 90.00°, 90.00° and 90.00°. The asymmetric unit holds Ca at (0.0000, 0.0000, 0.0000), Ac at (0.1735, 0.3265, 0.5000), Pt at (0.0000, 0.5000, 0.0000), O at (0.0000, 0.0000, 0.5000) and O at (0.1459, 0.6459, 0.2367).

As for the total DFT energy (no corrections): -126.2 eV for the cell shown. As for the magnetization: 0.00 μB per cell. The density of states at the Fermi level is 0.000 states/eV/cell. The uncorrected formation energy comes out at -2.449 eV per atom.



No. 6
Below is a geometry-optimized Ti4AsN structure, with properties calculated at the GGA-PBE level.

The structure belongs to space group P2_1/c (No. 14); the cell edges are 5.5158, 5.6239 and 5.8057 Å and the angles 90.00°, 97.30° and 90.00°. The asymmetric unit holds Ti at (0.0972, 0.1707, 0.1865), Ti at (0.3317, 0.6271, 0.1064), As at (0.5000, 0.0000, 0.0000) and N at (0.0000, 0.0000, 0.5000).

As for the total DFT energy (no corrections): -98.8 eV for the cell shown. As for the magnetization: 0.00 μB per cell. The density of states at the Fermi level is 8.158 states/eV/cell. The uncorrected formation energy comes out at -0.805 eV per atom.



No. 7
Below is a geometry-optimized LiNb2Ir structure, with properties calculated at the GGA-PBE level.

The structure belongs to space group I-42d (No. 122); the cell edges are 7.3565, 7.3565 and 5.3426 Å and the angles 90.00°, 90.00° and 90.00°. The asymmetric unit holds Li at (0.0000, 0.0000, 0.0000), Nb at (0.2174, 0.2500, 0.6250) and Ir at (0.0000, 0.0000, 0.5000).

As for the total DFT energy (no corrections): -119.0 eV for the cell shown. As for the magnetization: 0.00 μB per cell. The density of states at the Fermi level is 15.135 states/eV/cell. Its formation energy from the elements is 0.2885 eV per atom.



No. 8
Below is a geometry-optimized Pm3Y5Te8 structure, with properties calculated at the GGA-PBE level.

The structure belongs to space group R-3m (No. 166, hexagonal axes); the cell edges are 8.7940, 8.7940 and 21.6550 Å and the angles 90.00°, 90.00° and 120.00°. The asymmetric unit holds Pm at (0.0000, 0.5000, 0.0000), Y at (0.0000, 0.0000, 0.0000), Y at (0.0000, 0.0000, 0.5000), Y at (0.0000, 0.5000, 0.5000), Te at (0.0000, 0.0000, 0.2470) and Te at (0.0039, 0.5020, 0.7520).

As for the total DFT energy (no corrections): -279.6 eV for the cell shown. As for the magnetization: 0.00 μB per cell. The density of states at the Fermi level is 36.550 states/eV/cell. The uncorrected formation energy comes out at -1.343 eV per atom.



No. 9
Below is a geometry-optimized MgH6Ir3 structure, with properties calculated at the GGA-PBE level.

The structure belongs to space group Pm (No. 6); the cell edges are 4.6099, 2.9237 and 6.7868 Å and the angles 90.00°, 107.50° and 90.00°. The asymmetric unit holds Mg at (0.0000, 0.0000, 0.0000), H at (0.2376, 0.5000, 0.8221), H at (0.4017, 0.5000, 0.1834), H at (0.4283, 0.0000, 0.3510), H at (0.5375, 0.0000, 0.9843), H at (0.8760, 0.0000, 0.4864), H at (0.8802, 0.5000, 0.2016), Ir at (0.2300, 0.5000, 0.3592), Ir at (0.4112, 0.0000, 0.7368) and Ir at (0.8459, 0.5000, 0.6293).

As for the total DFT energy (no corrections): -48.5 eV for the cell shown. As for the magnetization: 0.00 μB per cell. The density of states at the Fermi level is 1.606 states/eV/cell. The offset from the most stable computed form comes out at 0.000 eV per atom.



No. 10
Below is a geometry-optimized La5Ge2NCl structure, with properties calculated at the GGA-PBE level.

The structure belongs to space group Cmc2_1 (No. 36); the cell edges are 4.4247, 18.0986 and 12.1737 Å and the angles 90.00°, 90.00° and 90.00°. The asymmetric unit holds La at (0.0000, 0.0111, 0.0000), La at (0.0000, 0.1316, 0.2324), La at (0.0000, 0.1840, 0.5781), La at (0.0000, 0.2114, 0.8998), La at (0.0000, 0.4614, 0.2439), Ge at (0.0000, 0.3614, 0.5388), Ge at (0.0000, 0.3900, 0.9233), N at (0.0000, 0.0064, 0.6871) and Cl at (0.0000, 0.2964, 0.2365).

As for the total DFT energy (no corrections): -215.5 eV for the cell shown. As for the magnetization: 0.00 μB per cell. The density of states at the Fermi level is 24.092 states/eV/cell. The uncorrected formation energy comes out at -1.092 eV per atom.



No. 11
Below is a geometry-optimized SrSm2Ir9 structure, with properties calculated at the GGA-PBE level.

The structure belongs to space group R-3m (No. 166, hexagonal axes); the cell edges are 5.3955, 5.3955 and 26.3191 Å and the angles 90.00°, 90.00° and 120.00°. The asymmetric unit holds Sr at (0.0000, 0.0000, 0.0000), Sm at (0.0000, 0.0000, 0.1387), Ir at (0.0000, 0.0000, 0.3319), Ir at (0.0000, 0.0000, 0.5000) and Ir at (0.0030, 0.5015, 0.0815).

As for the total DFT energy (no corrections): -287.7 eV for the cell shown. As for the magnetization: 0.00 μB per cell. The density of states at the Fermi level is 38.585 states/eV/cell. Its formation energy from the elements is -0.4198 eV per atom.



No. 12
Below is a geometry-optimized CaInRh2 structure, with properties calculated at the GGA-PBE level.

The structure belongs to space group Immm (No. 71); the cell edges are 3.0003, 5.1621 and 10.5528 Å and the angles 90.00°, 90.00° and 90.00°. The asymmetric unit holds Ca at (0.0000, 0.0000, 0.0000), In at (0.0000, 0.0000, 0.5000) and Rh at (0.0000, 0.0000, 0.2590).

As for the total DFT energy (no corrections): -35.6 eV for the cell shown. As for the magnetization: 0.00 μB per cell. The density of states at the Fermi level is 8.965 states/eV/cell. Its formation energy from the elements is 0.4068 eV per atom.